Record 1
Ag4I3Br | the Open Quantum Materials Database | GGA-PBE | relaxed; energy relative to the lowest polymorph listed for this composition = 0.0000 eV/atom; SG = No. 121; raw total energy = -2.49 eV/atom
1.0
-3.230 3.230 6.532
3.230 -3.230 6.532
3.230 3.230 -6.532
Ag I Br
4 3 1
Direct
0.122 0.122 0.488
0.878 0.366 0.000
0.366 0.878 0.000
0.634 0.634 0.512
0.750 0.250 0.500
0.500 0.500 0.000
0.250 0.750 0.500
0.000 0.000 0.000

---

Record 2
AgIBr | the Open Quantum Materials Database | GGA-PBE | relaxed; energy relative to the lowest polymorph listed for this composition = 0.0448 eV/atom; SG = No. 8; raw total energy = -2.20 eV/atom
1.0
-1.885 -2.975 2.761
1.857 -3.633 1.839
1.853 6.226 3.080
Br Ag I
1 1 1
Direct
0.506 0.506 0.747
0.000 0.000 0.991
0.494 0.494 0.262

---

Record 3
Ag4I3Br | the Open Quantum Materials Database | GGA-PBE | relaxed; energy relative to the lowest polymorph listed for this composition = 0.0986 eV/atom; SG = No. 35; raw total energy = -2.39 eV/atom
1.0
3.112 -3.141 0.000
3.112 3.141 0.000
0.000 0.000 13.404
Ag I Br
4 3 1
Direct
0.750 0.750 0.753
0.754 0.246 0.244
0.246 0.754 0.244
0.250 0.250 0.753
0.000 0.000 0.592
0.500 0.500 0.914
0.500 0.500 0.402
0.000 0.000 0.096

---

Record 4
AgI6Br | the Open Quantum Materials Database | GGA-PBE | relaxed; SG = No. 216; raw total energy = -1.25 eV/atom
1.0
-1.693 4.291 6.322
-6.142 4.850 -0.092
-6.353 -1.650 4.263
I Ag Br
6 1 1
Direct
0.239 0.761 0.761
0.761 0.239 0.761
0.239 0.761 0.239
0.239 0.239 0.761
0.761 0.761 0.239
0.761 0.239 0.239
0.250 0.250 0.250
0.500 0.500 0.500

---

Record 5
Sr2AgIBrO2 | the Open Quantum Materials Database | GGA-PBE | relaxed; SG = No. 107; raw total energy = -4.43 eV/atom
1.0
-2.107 2.107 9.130
2.107 -2.107 9.130
2.107 2.107 -9.130
Ag O Br Sr I
1 2 1 2 1
Direct
0.001 0.001 0.000
0.497 0.997 0.500
0.997 0.497 0.500
0.830 0.830 0.000
0.403 0.403 0.000
0.588 0.588 0.000
0.183 0.183 0.000

---

Record 6
YIn2AgBr6 | the Open Quantum Materials Database | GGA-PBE | relaxed; total magnetization = 0.00 μB per cell; SG = No. 225; raw total energy = -3.50 eV/atom
1.0
4.188 -5.262 4.114
1.716 1.379 7.571
-3.474 -4.242 5.665
Br In Y Ag
6 2 1 1
Direct
0.751 0.249 0.249
0.249 0.751 0.249
0.249 0.249 0.751
0.751 0.249 0.751
0.249 0.751 0.751
0.751 0.751 0.249
0.250 0.250 0.250
0.750 0.750 0.750
0.000 0.000 0.000
0.500 0.500 0.500

---

Record 7
AgIrBr6 | the Open Quantum Materials Database | GGA-PBE | relaxed; total magnetization = 1.72 μB per cell; SG = No. 216; raw total energy = -2.73 eV/atom
1.0
0.000 4.999 4.999
4.999 0.000 4.999
4.999 4.999 0.000
Br Ag Ir
6 1 1
Direct
0.496 0.004 0.496
0.496 0.004 0.004
0.004 0.496 0.496
0.004 0.004 0.496
0.496 0.496 0.004
0.004 0.496 0.004
0.500 0.500 0.500
0.250 0.250 0.250

---

Record 8
KAg2Br3 | the Open Quantum Materials Database | GGA-PBE | relaxed; SG = No. 63; raw total energy = -2.75 eV/atom
1.0
-8.266 -1.607 0.581
3.101 -5.135 -5.938
1.048 -3.954 3.966
Br Ag K
6 4 2
Direct
0.888 0.112 0.750
0.449 0.156 0.750
0.844 0.551 0.750
0.551 0.844 0.250
0.156 0.449 0.250
0.112 0.888 0.250
0.803 0.803 0.500
0.197 0.197 0.500
0.803 0.803 0.000
0.197 0.197 0.000
0.275 0.725 0.750
0.725 0.275 0.250

---

> The lowest raw total energy belongs to which entry?

Sr2AgIBrO2

---

> Number 1 is which compound?

Ag4I3Br